Here is PaVCuSn after structural relaxation from the Alexandria database. Energies are from PBE.

Results
Energy of formation from the pure elements (eV per atom): 0.1616

Lattice parameters (Å, degrees): 6.690 6.690 6.690 90.00 90.00 90.00
Space group F-43m (No. 216)
Inequivalent atoms, fractional coordinates:
Pa  0.000  0.000  0.000 (multiplicity 4)
V  0.250  0.250  0.750 (multiplicity 4)
Cu  0.250  0.250  0.250 (multiplicity 4)
Sn  0.000  0.000  0.500 (multiplicity 4)

---

Here is AcLa2Tb2Pm after structural relaxation from the Alexandria database. Energies are from PBE.

Results
Energy of formation from the pure elements (eV per atom): 0.0318

Lattice parameters (Å, degrees): 5.270 11.153 7.359 90.00 90.00 90.00
Space group Pmc2_1 (No. 26)
Inequivalent atoms, fractional coordinates:
Ac  0.000  0.165  0.000 (multiplicity 2)
La  0.000  0.497  0.494 (multiplicity 2)
La  0.500  0.334  0.746 (multiplicity 2)
Tb  0.000  0.169  0.501 (multiplicity 2)
Tb  0.500  0.332  0.248 (multiplicity 2)
Pm  0.500  0.002  0.253 (multiplicity 2)

---

Here is Ac4Cd2Os after structural relaxation from the Alexandria database. Energies are from PBE.

Results
Energy of formation from the pure elements (eV per atom): -0.1696

Lattice parameters (Å, degrees): 14.068 4.433 9.769 90.00 123.74 90.00
Space group C2/m (No. 12)
Inequivalent atoms, fractional coordinates:
Ac  0.088  0.000  0.351 (multiplicity 4)
Ac  0.158  0.500  0.060 (multiplicity 4)
Cd  0.121  0.500  0.659 (multiplicity 4)
Os  0.000  0.000  0.000 (multiplicity 2)

---

Here is RbGa3Sb after structural relaxation from the Alexandria database. Energies are from PBE.

Results
Uncorrected formation energy (eV/f.u.): 5.6

Lattice parameters (Å, degrees): 5.809 5.809 5.809 90.00 90.00 90.00
Space group Pm-3m (No. 221)
Inequivalent atoms, fractional coordinates:
Rb  0.000  0.000  0.000 (multiplicity 1)
Ga  0.000  0.000  0.500 (multiplicity 3)
Sb  0.500  0.500  0.500 (multiplicity 1)

---

Here is AgSbPd2 after structural relaxation from the Alexandria database. Energies are from PBE.

Results
Uncorrected formation energy (eV/f.u.): -1.0

Lattice parameters (Å, degrees): 4.706 4.706 3.198 90.00 90.00 90.00
Space group P4/mmm (No. 123)
Inequivalent atoms, fractional coordinates:
Ag  0.000  0.000  0.000 (multiplicity 1)
Sb  0.500  0.500  0.000 (multiplicity 1)
Pd  0.000  0.500  0.500 (multiplicity 2)

---

Here is Zr2GaSi after structural relaxation from the Alexandria database. Energies are from PBE.

Results
Uncorrected formation energy (eV/f.u.): -1.4

Lattice parameters (Å, degrees): 7.341 7.341 5.922 90.00 90.00 90.00
Space group I-42d (No. 122)
Inequivalent atoms, fractional coordinates:
Zr  0.243  0.250  0.125 (multiplicity 8)
Ga  0.000  0.000  0.500 (multiplicity 4)
Si  0.000  0.000  0.000 (multiplicity 4)

---

Here is TbHoCuSi after structural relaxation from the Alexandria database. Energies are from PBE.

Results
Uncorrected formation energy (eV/f.u.): -2.1

Lattice parameters (Å, degrees): 4.078 4.056 10.695 90.00 90.00 90.00
Space group Amm2 (No. 38)
Inequivalent atoms, fractional coordinates:
Tb  0.000  0.000  0.000 (multiplicity 2)
Ho  0.500  0.000  0.280 (multiplicity 2)
Cu  0.500  0.000  0.576 (multiplicity 2)
Si  0.000  0.000  0.714 (multiplicity 2)

---

Here is ScNi2PdN after structural relaxation from the Alexandria database. Energies are from PBE.

Results
Uncorrected formation energy (eV/f.u.): -2.7

Lattice parameters (Å, degrees): 3.824 3.824 4.294 90.00 90.00 90.00
Space group P4/mmm (No. 123)
Inequivalent atoms, fractional coordinates:
Sc  0.000  0.000  0.000 (multiplicity 1)
Ni  0.000  0.500  0.500 (multiplicity 2)
Pd  0.500  0.500  0.000 (multiplicity 1)
N  0.000  0.000  0.500 (multiplicity 1)

---

Here is SmDy2Ho3Er6 after structural relaxation from the Alexandria database. Energies are from PBE.

Results
Energy of formation from the pure elements (eV per atom): 0.0198

Lattice parameters (Å, degrees): 6.109 10.569 11.675 90.00 100.00 90.00
Space group C2/m (No. 12)
Inequivalent atoms, fractional coordinates:
Sm  0.000  0.000  0.000 (multiplicity 2)
Dy  0.000  0.333  0.000 (multiplicity 4)
Ho  0.000  0.167  0.500 (multiplicity 4)
Ho  0.000  0.500  0.500 (multiplicity 2)
Er  0.249  0.000  0.749 (multiplicity 4)
Er  0.249  0.333  0.749 (multiplicity 8)

---

Here is Pm2SmIn3Hg6 after structural relaxation from the Alexandria database. Energies are from PBE.

Results
Energy of formation from the pure elements (eV per atom): -0.0867

Lattice parameters (Å, degrees): 4.283 4.283 20.462 90.00 90.00 90.00
Space group P4/mmm (No. 123)
Inequivalent atoms, fractional coordinates:
Pm  0.000  0.000  0.216 (multiplicity 2)
Sm  0.000  0.000  0.500 (multiplicity 1)
In  0.500  0.500  0.000 (multiplicity 1)
In  0.500  0.500  0.278 (multiplicity 2)
Hg  0.000  0.500  0.385 (multiplicity 4)
Hg  0.500  0.500  0.136 (multiplicity 2)

---

Here is Nd5Y3Er2 after structural relaxation from the Alexandria database. Energies are from PBE.

Results
Energy of formation from the pure elements (eV per atom): 0.1783

Lattice parameters (Å, degrees): 10.754 14.811 10.106 90.00 122.06 90.00
Space group C2/c (No. 15)
Inequivalent atoms, fractional coordinates:
Nd  0.000  0.016  0.250 (multiplicity 4)
Nd  0.000  0.228  0.250 (multiplicity 4)
Nd  0.000  0.477  0.750 (multiplicity 4)
Nd  0.243  0.372  0.237 (multiplicity 8)
Y  0.000  0.270  0.750 (multiplicity 4)
Y  0.157  0.376  0.557 (multiplicity 8)
Er  0.151  0.126  0.060 (multiplicity 8)

---

Here is Li2YSc after structural relaxation from the Alexandria database. Energies are from PBE.

Results
Energy of formation from the pure elements (eV per atom): 0.1825

Lattice parameters (Å, degrees): 11.111 3.399 5.368 90.00 111.19 90.00
Space group Cm (No. 8)
Inequivalent atoms, fractional coordinates:
Li  0.000  0.000  0.000 (multiplicity 2)
Li  0.200  0.500  0.269 (multiplicity 2)
Y  0.238  0.000  0.795 (multiplicity 2)
Sc  0.456  0.000  0.458 (multiplicity 2)